This record from the Alexandria database describes BiTeSe2 after structural relaxation. The functional is GGA-PBE.

Its uncorrected formation energy is 141.2 meV per atom. Its raw total energy is -40.280 eV per cell. As for the total magnetization: 0.0 μB per cell. The theoretical density is 6.757 g/cm3.

It has space group R-3m (No. 166, hexagonal axes), with a = 3.8166 Å, b = 3.8166 Å, c = 28.9006 Å, α = 90.00°, β = 90.00° and γ = 120.00°. Symmetry generates all atoms from Bi at (0.0000, 0.0000, 0.0000), Te at (0.0000, 0.0000, 0.5000) and Se at (0.0000, 0.0000, 0.1017).